# 1
The following is a PBE-GGA calculation of crystalline KCo2Br6 at its relaxed geometry, from Alexandria.

Lattice parameters (Å, degrees): 14.1147 14.5043 6.7270 90.00 98.99 90.00
Space group C2/c (No. 15)
Unique sites:
K 0.0000 0.1263 0.2500
Co 0.2064 0.4258 0.2581
Br 0.1263 0.0842 0.7073
Br 0.1267 0.3021 0.0945
Br 0.1549 0.4347 0.5834

# 2
The following is a PBE-GGA calculation of crystalline K4HoPu3Se8 at its relaxed geometry, from Alexandria.

Lattice parameters (Å, degrees): 14.8623 8.5525 9.0913 90.00 122.95 90.00
Space group C2/m (No. 12)
Unique sites:
K 0.0000 0.0000 0.0000
K 0.0000 0.5000 0.0000
K 0.2500 0.2500 0.0000
Ho 0.0000 0.0000 0.5000
Pu 0.0000 0.5000 0.5000
Pu 0.2500 0.2500 0.5000
Se 0.0135 0.2461 0.2946
Se 0.2327 0.0000 0.7037
Se 0.2358 0.5000 0.7050

# 3
The following is a PBE-GGA calculation of crystalline MnSb2RhI at its relaxed geometry, from Alexandria.

Lattice parameters (Å, degrees): 4.9341 4.9341 5.2502 90.00 90.00 90.00
Space group P4/mmm (No. 123)
Unique sites:
Mn 0.0000 0.0000 0.0000
Sb 0.0000 0.5000 0.0000
Rh 0.5000 0.5000 0.5000
I 0.0000 0.0000 0.5000

E above lowest polymorph = 5.700 kcal/mol of atoms

# 4
The following is a PBE-GGA calculation of crystalline TlGaNCl2 at its relaxed geometry, from Alexandria.

Lattice parameters (Å, degrees): 5.1113 5.1113 5.6489 90.00 90.00 90.00
Space group P4/mmm (No. 123)
Unique sites:
Tl 0.0000 0.0000 0.0000
Ga 0.0000 0.0000 0.5000
N 0.5000 0.5000 0.0000
Cl 0.0000 0.5000 0.5000

Total energy readings, ordered: -123.022 -208.136 -22.125 -14.647 eV for the cell shown
E_form (uncorrected) readings, ordered: -522 -2338 404 267 kJ/mol of formula units